Material: HfZr
Method: DFT, PBE
State: optimized geometry

Computed properties:
Excess energy over the best structure of this formula in the dataset in meV per atom: 1.9

Structure (POSCAR):
```
HfZr
1.0
8.349 -1.605 0.000
0.000 6.420 0.000
0.000 0.000 5.116
Hf Zr
6 6
Cartesian
2.803 1.606 0.000
5.539 0.006 0.000
4.644 1.611 2.558
4.664 4.809 2.558
7.400 3.209 2.558
5.559 3.204 0.000
8.340 1.608 0.000
7.386 0.000 2.558
1.863 3.207 2.558
1.863 0.004 2.558
2.817 4.814 0.000
8.341 4.811 0.000
```